1.
The following is a GGA-PBEsol calculation of crystalline UV2O8 at its relaxed geometry, from Alexandria via LeMat-Bulk.

It has space group Pnma (No. 62), with a = 5.7785 Å, b = 11.9121 Å, c = 10.6640 Å, α = 90.00°, β = 90.00° and γ = 90.00°. The asymmetric unit holds U at (0.0676, 0.2500, 0.1044), V at (0.1650, 0.5722, 0.1680), O at (0.0704, 0.1137, 0.7376), O at (0.1373, 0.6333, 0.0284), O at (0.1605, 0.0664, 0.1532), O at (0.1719, 0.7500, 0.7798) and O at (0.1971, 0.7500, 0.4954).

The calculation puts the total energy at -9.234 eV/atom. For the uncorrected formation energy, the calculation gives -2.559 eV per atom. As for the total moment: 0.00 μB per formula unit.



2.
The following is a GGA-PBEsol calculation of crystalline BaLaCl5 at its relaxed geometry, from Alexandria via LeMat-Bulk.

It has space group C2/c (No. 15), with a = 12.5184 Å, b = 8.9277 Å, c = 10.5955 Å, α = 90.00°, β = 114.83° and γ = 90.00°. The asymmetric unit holds Ba at (0.0000, 0.0485, 0.2500), La at (0.0000, 0.5000, 0.0000), Cl at (0.0000, 0.4005, 0.2500), Cl at (0.0118, 0.1918, 0.9713) and Cl at (0.2368, 0.4798, 0.6225).

The calculation puts the total energy at -4.859 eV/atom. For the uncorrected formation energy, the calculation gives -2.354 eV per atom. As for the total moment: 0.00 μB per formula unit. The calculation puts the polymorph energy (0 for the lowest one) at 0.379 eV/f.u.



3.
The following is a GGA-PBEsol calculation of crystalline Al3Ag4 at its relaxed geometry, from Alexandria via LeMat-Bulk.

It has space group P-1 (No. 2), with a = 4.7764 Å, b = 4.9387 Å, c = 5.0244 Å, α = 102.63°, β = 99.28° and γ = 98.64°. The asymmetric unit holds Al at (0.0000, 0.0000, 0.0000), Al at (0.1529, 0.2868, 0.5788), Ag at (0.2798, 0.5584, 0.1503) and Ag at (0.4124, 0.8609, 0.7133).

The calculation puts the total energy at -3.730 eV/atom. As for the total moment: 0.00 μB per formula unit. The calculation puts the polymorph energy (0 for the lowest one) at 0.000 eV/f.u.



4.
The following is a GGA-PBEsol calculation of crystalline SrZrOs2 at its relaxed geometry, from Alexandria via LeMat-Bulk.

It has space group Pmm2 (No. 25), with a = 2.9011 Å, b = 3.7645 Å, c = 8.0585 Å, α = 90.00°, β = 90.00° and γ = 90.00°. The asymmetric unit holds Sr at (0.0000, 0.0000, 0.0000), Zr at (0.5000, 0.5000, 0.3770), Os at (0.0000, 0.0000, 0.5876) and Os at (0.5000, 0.5000, 0.7065).

The calculation puts the total energy at -8.447 eV/atom. As for the total moment: 0.00 μB per formula unit. The calculation puts the polymorph energy (0 for the lowest one) at 0.054 eV/f.u.



5.
The following is a GGA-PBEsol calculation of crystalline AlCoF5 at its relaxed geometry, from Alexandria via LeMat-Bulk.

It has space group Immm (No. 71), with a = 3.5310 Å, b = 6.1374 Å, c = 7.4044 Å, α = 90.00°, β = 90.00° and γ = 90.00°. The asymmetric unit holds Al at (0.0000, 0.0000, 0.0000), Co at (0.0000, 0.0000, 0.5000), F at (0.0000, 0.0000, 0.2425), F at (0.0000, 0.2983, 0.0000) and F at (0.0000, 0.5000, 0.5000).

The calculation puts the total energy at -5.755 eV/atom. For the uncorrected formation energy, the calculation gives -2.689 eV per atom. As for the total moment: 3.00 μB per formula unit.



6.
The following is a GGA-PBEsol calculation of crystalline Li2AgP at its relaxed geometry, from Alexandria via LeMat-Bulk.

It has space group I4/mmm (No. 139), with a = 3.9791 Å, b = 3.9791 Å, c = 6.9472 Å, α = 90.00°, β = 90.00° and γ = 90.00°. The asymmetric unit holds Li at (0.0000, 0.5000, 0.2500), Ag at (0.0000, 0.0000, 0.0000) and P at (0.0000, 0.0000, 0.5000).

The calculation puts the total energy at -3.643 eV/atom. As for the total moment: 0.00 μB per formula unit.



7.
The following is a GGA-PBEsol calculation of crystalline CaTlCr2 at its relaxed geometry, from Alexandria via LeMat-Bulk.

It has space group Pmmm (No. 47), with a = 3.6254 Å, b = 3.6413 Å, c = 6.6150 Å, α = 90.00°, β = 90.00° and γ = 90.00°. The asymmetric unit holds Ca at (0.0000, 0.0000, 0.0000), Tl at (0.0000, 0.0000, 0.5000) and Cr at (0.5000, 0.5000, 0.2845).

The calculation puts the total energy at -5.546 eV/atom. As for the total moment: 8.29 μB per formula unit. The calculation puts the polymorph energy (0 for the lowest one) at 1.763 eV/f.u.



8.
The following is a GGA-PBEsol calculation of crystalline Pm2GaRu at its relaxed geometry, from Alexandria via LeMat-Bulk.

It has space group Fm-3m (No. 225), with a = 7.0451 Å, b = 7.0451 Å, c = 7.0451 Å, α = 90.00°, β = 90.00° and γ = 90.00°. The asymmetric unit holds Pm at (0.2500, 0.2500, 0.2500), Ga at (0.0000, 0.0000, 0.0000) and Ru at (0.0000, 0.0000, 0.5000).

The calculation puts the total energy at -6.243 eV/atom. As for the total moment: 0.00 μB per formula unit.



9.
The following is a GGA-PBEsol calculation of crystalline NaMgMo3 at its relaxed geometry, from Alexandria via LeMat-Bulk.

It has space group Pm-3m (No. 221), with a = 4.5394 Å, b = 4.5394 Å, c = 4.5394 Å, α = 90.00°, β = 90.00° and γ = 90.00°. The asymmetric unit holds Na at (0.0000, 0.0000, 0.0000), Mg at (0.5000, 0.5000, 0.5000) and Mo at (0.0000, 0.0000, 0.5000).

The calculation puts the total energy at -5.098 eV/atom. As for the total moment: 0.68 μB per formula unit.



10.
The following is a GGA-PBEsol calculation of crystalline Ca2LaZn at its relaxed geometry, from Alexandria via LeMat-Bulk.

It has space group Immm (No. 71), with a = 3.7342 Å, b = 5.5908 Å, c = 11.8807 Å, α = 90.00°, β = 90.00° and γ = 90.00°. The asymmetric unit holds Ca at (0.0000, 0.0000, 0.2022), La at (0.0000, 0.5000, 0.0000) and Zn at (0.0000, 0.5000, 0.5000).

The calculation puts the total energy at -2.832 eV/atom. As for the total moment: 0.00 μB per formula unit.



11.
The following is a GGA-PBEsol calculation of crystalline TiBr3 at its relaxed geometry, from Alexandria via LeMat-Bulk.

It has space group P-1 (No. 2), with a = 6.2158 Å, b = 6.2752 Å, c = 7.3020 Å, α = 64.62°, β = 64.81° and γ = 60.31°. The asymmetric unit holds Ti at (0.1753, 0.1500, 0.0001), Br at (0.0860, 0.4248, 0.2243), Br at (0.2401, 0.9228, 0.7580) and Br at (0.4186, 0.7594, 0.2419).

The calculation puts the total energy at -4.686 eV/atom. For the uncorrected formation energy, the calculation gives -1.203 eV per atom. As for the total moment: 1.00 μB per formula unit.



12.
The following is a GGA-PBEsol calculation of crystalline Li2ZnPb at its relaxed geometry, from Alexandria via LeMat-Bulk.

It has space group Imm2 (No. 44), with a = 3.6737 Å, b = 4.5022 Å, c = 8.8554 Å, α = 90.00°, β = 90.00° and γ = 90.00°. The asymmetric unit holds Li at (0.0000, 0.0000, 0.0000), Li at (0.0000, 0.5000, 0.2462), Zn at (0.0000, 0.0000, 0.5139) and Pb at (0.0000, 0.5000, 0.7600).

The calculation puts the total energy at -2.545 eV/atom. As for the total moment: 0.00 μB per formula unit.



13.
The following is a GGA-PBEsol calculation of crystalline SrBeTlAs2 at its relaxed geometry, from Alexandria via LeMat-Bulk.

It has space group P4/mmm (No. 123), with a = 5.4484 Å, b = 5.4484 Å, c = 4.4683 Å, α = 90.00°, β = 90.00° and γ = 90.00°. The asymmetric unit holds Sr at (0.0000, 0.0000, 0.0000), Be at (0.5000, 0.5000, 0.0000), Tl at (0.5000, 0.5000, 0.5000) and As at (0.0000, 0.5000, 0.5000).

The calculation puts the total energy at -3.389 eV/atom. As for the total moment: 0.00 μB per formula unit.



14.
The following is a GGA-PBEsol calculation of crystalline Cu3B7IO13 at its relaxed geometry, from Alexandria via LeMat-Bulk.

It has space group F-43c (No. 219), with a = 12.0073 Å, b = 12.0073 Å, c = 12.0073 Å, α = 90.00°, β = 90.00° and γ = 90.00°. The asymmetric unit holds Cu at (0.0000, 0.0000, 0.2500), B at (0.0000, 0.2500, 0.2500), B at (0.1697, 0.1697, 0.1697), I at (0.0000, 0.0000, 0.0000), O at (0.0702, 0.1515, 0.2330) and O at (0.2500, 0.2500, 0.2500).

The calculation puts the total energy at -7.413 eV/atom. For the uncorrected formation energy, the calculation gives -1.907 eV per atom. As for the total moment: 3.04 μB per formula unit.



15.
The following is a GGA-PBEsol calculation of crystalline HfS2F at its relaxed geometry, from Alexandria via LeMat-Bulk.

It has space group R-3m (No. 166, hexagonal axes), with a = 3.5835 Å, b = 3.5835 Å, c = 20.9845 Å, α = 90.00°, β = 90.00° and γ = 120.00°. The asymmetric unit holds Hf at (0.0000, 0.0000, 0.0000), S at (0.0000, 0.0000, 0.4016) and F at (0.0000, 0.0000, 0.5000).

The calculation puts the total energy at -6.642 eV/atom. For the uncorrected formation energy, the calculation gives -1.342 eV per atom. As for the total moment: 0.00 μB per formula unit.



16.
The following is a GGA-PBEsol calculation of crystalline IrOs3 at its relaxed geometry, from Alexandria via LeMat-Bulk.

It has space group P-6m2 (No. 187), with a = 2.7298 Å, b = 2.7298 Å, c = 8.6471 Å, α = 90.00°, β = 90.00° and γ = 120.00°. The asymmetric unit holds Ir at (0.0000, 0.0000, 0.0000), Os at (0.0000, 0.0000, 0.5000) and Os at (0.6667, 0.3333, 0.2537).

The calculation puts the total energy at -11.618 eV/atom. As for the total moment: 0.00 μB per formula unit.



17.
The following is a GGA-PBEsol calculation of crystalline Li2Cd2Sn at its relaxed geometry, from Alexandria via LeMat-Bulk.

It has space group P4/mbm (No. 127), with a = 7.9925 Å, b = 7.9925 Å, c = 3.0821 Å, α = 90.00°, β = 90.00° and γ = 90.00°. The asymmetric unit holds Li at (0.1684, 0.3316, 0.0000), Cd at (0.1291, 0.6291, 0.5000) and Sn at (0.0000, 0.0000, 0.5000).

The calculation puts the total energy at -2.319 eV/atom. As for the total moment: 0.00 μB per formula unit.



18.
The following is a GGA-PBEsol calculation of crystalline Ca2HgSb at its relaxed geometry, from Alexandria via LeMat-Bulk.

It has space group P4/mmm (No. 123), with a = 5.0777 Å, b = 5.0777 Å, c = 4.1440 Å, α = 90.00°, β = 90.00° and γ = 90.00°. The asymmetric unit holds Ca at (0.0000, 0.5000, 0.0000), Hg at (0.0000, 0.0000, 0.5000) and Sb at (0.5000, 0.5000, 0.5000).

The calculation puts the total energy at -3.170 eV/atom. For the uncorrected formation energy, the calculation gives -0.822 eV per atom. As for the total moment: 0.00 μB per formula unit. The calculation puts the polymorph energy (0 for the lowest one) at 0.050 eV/f.u.



19.
The following is a GGA-PBEsol calculation of crystalline BeCN2 at its relaxed geometry, from Alexandria via LeMat-Bulk.

It has space group I-4m2 (No. 119), with a = 2.9581 Å, b = 2.9581 Å, c = 8.5931 Å, α = 90.00°, β = 90.00° and γ = 90.00°. The asymmetric unit holds Be at (0.0000, 0.0000, 0.0000), C at (0.0000, 0.5000, 0.7500) and N at (0.0000, 0.5000, 0.6071).

The calculation puts the total energy at -8.192 eV/atom. For the uncorrected formation energy, the calculation gives -0.518 eV per atom. As for the total moment: 0.00 μB per formula unit.



20.
The following is a GGA-PBEsol calculation of crystalline FeCuI3 at its relaxed geometry, from Alexandria via LeMat-Bulk.

It has space group Pm-3m (No. 221), with a = 5.2728 Å, b = 5.2728 Å, c = 5.2728 Å, α = 90.00°, β = 90.00° and γ = 90.00°. The asymmetric unit holds Fe at (0.0000, 0.0000, 0.0000), Cu at (0.5000, 0.5000, 0.5000) and I at (0.0000, 0.5000, 0.5000).

The calculation puts the total energy at -2.982 eV/atom. For the uncorrected formation energy, the calculation gives 0.738 eV per atom. As for the total moment: 3.93 μB per formula unit.



21.
The following is a GGA-PBEsol calculation of crystalline Mg2Ag at its relaxed geometry, from Alexandria via LeMat-Bulk.

It has space group C2/m (No. 12), with a = 10.3615 Å, b = 3.4155 Å, c = 6.9861 Å, α = 90.00°, β = 110.94° and γ = 90.00°. The asymmetric unit holds Mg at (0.0028, 0.0000, 0.2203), Mg at (0.1685, 0.5000, 0.6005) and Ag at (0.1733, 0.5000, 0.0844).

The calculation puts the total energy at -2.377 eV/atom. As for the total moment: 0.00 μB per formula unit.



22.
The following is a GGA-PBEsol calculation of crystalline Rb3ScF6 at its relaxed geometry, from Alexandria via LeMat-Bulk.

It has space group Fm-3m (No. 225), with a = 9.2285 Å, b = 9.2285 Å, c = 9.2285 Å, α = 90.00°, β = 90.00° and γ = 90.00°. The asymmetric unit holds Rb at (0.0000, 0.0000, 0.0000), Rb at (0.2500, 0.2500, 0.2500), Sc at (0.0000, 0.0000, 0.5000) and F at (0.0000, 0.0000, 0.2821).

The calculation puts the total energy at -5.399 eV/atom. For the uncorrected formation energy, the calculation gives -3.275 eV per atom. As for the total moment: 0.17 μB per formula unit.



23.
The following is a GGA-PBEsol calculation of crystalline AlBMo at its relaxed geometry, from Alexandria via LeMat-Bulk.

It has space group Cmcm (No. 63), with a = 3.1862 Å, b = 13.9652 Å, c = 3.0911 Å, α = 90.00°, β = 90.00° and γ = 90.00°. The asymmetric unit holds Al at (0.0000, 0.1983, 0.2500), B at (0.0000, 0.0335, 0.2500) and Mo at (0.0000, 0.4109, 0.2500).

The calculation puts the total energy at -8.118 eV/atom. As for the total moment: 0.00 μB per formula unit.